This record from Alexandria via LeMat-Bulk describes a geometry-optimized GeB2Ru2 structure. The functional is PBEsol.

It has space group I4/mmm (No. 139), with a = 2.938 Å, b = 2.938 Å, c = 12.395 Å, α = 90.00°, β = 90.00° and γ = 90.00°. Symmetry generates all atoms from Ge at (0.000, 0.000, 0.000), B at (0.000, 0.500, 0.250) and Ru at (0.000, 0.000, 0.380).

As for the formation energy from the elements: -0.308 eV/atom. Its volume is 107 Å³ per cell. For the magnetic moment, the calculation gives 0.0 Bohr magnetons per cell. The total energy comes out at -8.1712 eV per atom.